Computed, not measured: Mg2Cr3CoS8 after structural relaxation at the GGA-PBE level of DFT.

Lattice parameters (Å, degrees): 7.136 7.136 7.136 60.09 60.09 60.09
Each line ends with the local moment (μB).
Fractional coordinates of all 14 atoms:
Mg: 0.875 0.875 0.875  0.01
Mg: 0.125 0.125 0.125  0.01
Cr: 0.500 0.500 0.000  2.87
Cr: 0.000 0.500 0.500  2.87
Cr: 0.500 0.000 0.500  2.87
Co: 0.500 0.500 0.500  0.17
S: 0.737 0.737 0.737  -0.07
S: 0.271 0.271 0.705  -0.06
S: 0.271 0.705 0.271  -0.06
S: 0.705 0.271 0.271  -0.06
S: 0.729 0.295 0.729  -0.06
S: 0.295 0.729 0.729  -0.06
S: 0.263 0.263 0.263  -0.07
S: 0.729 0.729 0.295  -0.06

Computed properties:
Raw formation energy, kJ per mole of atoms: -79.0
Space group: R-3m (166)
Crystal system: trigonal



Computed, not measured: RbHg2BiRh after structural relaxation at the GGA-PBE level of DFT.

Lattice parameters (Å, degrees): 5.427 5.427 5.271 90.00 90.00 90.00
Fractional coordinates of all 5 atoms:
Rh: 0.000 0.000 0.000
Bi: 0.000 0.000 0.500
Rb: 0.500 0.500 0.500
Hg: 0.000 0.500 0.000
Hg: 0.500 0.000 0.000

Computed properties:
Energy relative to the elements, eV per atom: -0.1136
Space group: P4/mmm (123)
Crystal system: tetragonal



Number 1: ρ 3.35 Mg/m³. Number 2: ρ 8.54 Mg/m³.